Density functional theory data (GGA-PBE) for a relaxed structure of Li2NbP2O8.

## Properties
- D(E_F) (states/eV per cell) = 3.99
- electronic total energy (eV/atom) = -7.2795
- uncorrected formation energy (meV/atom) = -2327
- distance to the lowest polymorph of the same formula (meV per atom) = 0

a b c (Å): 5.2671 8.0992 9.5629
angles (deg): 90.00 123.38 90.00
Sites, in units of the cell vectors:
Li  0.0757  0.1423  0.0768
Li  0.0757  0.3577  0.5768
Li  0.9243  0.6423  0.4232
Li  0.9243  0.8577  0.9232
Nb  0.0000  0.0000  0.5000
Nb  0.0000  0.5000  0.0000
P  0.2949  0.6946  0.7945
P  0.2949  0.8054  0.2945
P  0.7051  0.1946  0.7055
P  0.7051  0.3054  0.2055
O  0.1547  0.5711  0.6541
O  0.1547  0.9289  0.1541
O  0.1669  0.6774  0.9073
O  0.1669  0.8226  0.4073
O  0.2213  0.6243  0.2216
O  0.2213  0.8757  0.7216
O  0.3515  0.1779  0.5932
O  0.3515  0.3221  0.0932
O  0.6485  0.6779  0.9068
O  0.6485  0.8221  0.4068
O  0.7787  0.1243  0.2784
O  0.7787  0.3757  0.7784
O  0.8331  0.1774  0.5927
O  0.8331  0.3226  0.0927
O  0.8453  0.0711  0.8459
O  0.8453  0.4289  0.3459